1.
# Pm2Er9Tm | the Alexandria database | PBE | optimized geometry
# energy relative to the elements = 1.69 kcal/mol of atoms
# V = 374.6 Å³ per cell
# total energy = -4.513 eV per atom
data_Pm2Er9Tm
_space_group_name_H-M_alt 'P 6/m m m'
_space_group_IT_number 191
_space_group_name_Hall '-P 6 2'
_cell_length_a 11.1542
_cell_length_b 11.1542
_cell_length_c 3.4766
_cell_angle_alpha 90.00
_cell_angle_beta 90.00
_cell_angle_gamma 120.00
loop_
_atom_site_label
_atom_site_fract_x
_atom_site_fract_y
_atom_site_fract_z
Pm1 0.3333 0.6667 0.0000
Er1 0.0000 0.5000 0.0000
Er2 0.1739 0.3478 0.5000
Tm1 0.0000 0.0000 0.0000

***

2.
# MgCrSi2Br | the Alexandria database | PBE | optimized geometry
# V = 114.3 Å³ per cell
# total energy = -3.362 eV per atom
data_MgCrSi2Br
_space_group_name_H-M_alt 'P 4/m m m'
_space_group_IT_number 123
_space_group_name_Hall '-P 4 2'
_cell_length_a 5.1160
_cell_length_b 5.1160
_cell_length_c 4.3663
_cell_angle_alpha 90.00
_cell_angle_beta 90.00
_cell_angle_gamma 90.00
loop_
_atom_site_label
_atom_site_fract_x
_atom_site_fract_y
_atom_site_fract_z
Mg1 0.0000 0.0000 0.0000
Cr1 0.5000 0.5000 0.0000
Si1 0.0000 0.5000 0.5000
Br1 0.5000 0.5000 0.5000

***

3.
# Nb2CoHS | the Alexandria database | PBE | optimized geometry
# V = 68.9 Å³ per cell
# total energy = -6.643 eV per atom
data_Nb2CoHS
_space_group_name_H-M_alt 'P 4/m m m'
_space_group_IT_number 123
_space_group_name_Hall '-P 4 2'
_cell_length_a 4.8255
_cell_length_b 4.8255
_cell_length_c 2.9598
_cell_angle_alpha 90.00
_cell_angle_beta 90.00
_cell_angle_gamma 90.00
loop_
_atom_site_label
_atom_site_fract_x
_atom_site_fract_y
_atom_site_fract_z
Nb1 0.0000 0.5000 0.0000
Co1 0.0000 0.0000 0.5000
H1 0.5000 0.5000 0.5000
S1 0.5000 0.5000 0.0000

***

4.
# CuTe2Pd9 | the Alexandria database | PBE | optimized geometry
# V = 195.8 Å³ per cell
# total energy = -4.920 eV per atom
data_CuTe2Pd9
_space_group_name_H-M_alt 'P 4/m m m'
_space_group_IT_number 123
_space_group_name_Hall '-P 4 2'
_cell_length_a 4.0765
_cell_length_b 4.0765
_cell_length_c 11.7854
_cell_angle_alpha 90.00
_cell_angle_beta 90.00
_cell_angle_gamma 90.00
loop_
_atom_site_label
_atom_site_fract_x
_atom_site_fract_y
_atom_site_fract_z
Cu1 0.0000 0.0000 0.0000
Te1 0.0000 0.0000 0.3144
Pd1 0.0000 0.5000 0.1568
Pd2 0.0000 0.5000 0.5000
Pd3 0.5000 0.5000 0.0000
Pd4 0.5000 0.5000 0.3341